No. 1
A plane-wave DFT calculation with GGA-PBE was carried out for crystalline MgAsPt2Se at its relaxed geometry.

a b c (Å): 4.7057 4.7057 5.1555
angles (deg): 90.00 90.00 90.00
Closest atoms and distances in Å follow each position.
Fractional coordinates of all 5 atoms:
Mg 0.0000 0.0000 0.0000  4 As 3.33, 8 Pt 3.49
As 0.5000 0.5000 0.0000  2 Se 2.58
Pt 0.0000 0.5000 0.5000  2 Se 2.35
Pt 0.5000 0.0000 0.5000  2 Se 2.35
Se 0.5000 0.5000 0.5000  4 Pt 2.35, 2 As 2.58

Results
symmetry	P4/mmm, No. 123
total magnetic moment	0.00	Bohr magnetons per cell
uncorrected energy	-19.39	eV per cell

=====

No. 2
A plane-wave DFT calculation with GGA-PBE was carried out for crystalline Sm2MgAs3Pt4 at its relaxed geometry.

a b c (Å): 4.1883 4.1883 11.1119
angles (deg): 90.00 90.00 90.00
Closest atoms and distances in Å follow each position.
Fractional coordinates of all 10 atoms:
Sm 0.0000 0.5000 0.2244  4 As 3.11, 8 Pt 3.26-3.31
Sm 0.5000 0.0000 0.7756  4 As 3.11, 8 Pt 3.26-3.31
Mg 0.0000 0.0000 0.5000  4 Pt 2.62
As 0.0000 0.5000 0.8606  5 Pt 2.43-2.60
As 0.5000 0.0000 0.1394  5 Pt 2.43-2.60
As 0.5000 0.5000 0.5000  4 Pt 2.62
Pt 0.0000 0.0000 0.0000  4 As 2.60
Pt 0.0000 0.5000 0.6422  3 As 2.43-2.62, 2 Mg 2.62
Pt 0.5000 0.0000 0.3578  3 As 2.43-2.62, 2 Mg 2.62
Pt 0.5000 0.5000 0.0000  4 As 2.60

Results
symmetry	P-4m2, No. 115
total magnetic moment	0.00	Bohr magnetons per cell
energy of formation from the pure elements	-0.891	eV/atom
uncorrected energy	-58.06	eV per cell

=====

No. 3
A plane-wave DFT calculation with GGA-PBE was carried out for crystalline SrMg2AsPt at its relaxed geometry.

a b c (Å): 4.9914 4.9914 5.1499
angles (deg): 90.00 90.00 90.00
Closest atoms and distances in Å follow each position.
Fractional coordinates of all 5 atoms:
Sr 0.0000 0.0000 0.0000  4 As 3.53, 8 Mg 3.59
Mg 0.0000 0.5000 0.5000  2 Pt 2.50
Mg 0.5000 0.0000 0.5000  2 Pt 2.50
As 0.5000 0.5000 0.0000  2 Pt 2.57
Pt 0.5000 0.5000 0.5000  4 Mg 2.50, 2 As 2.57

Results
symmetry	P4/mmm, No. 123
total magnetic moment	0.00	Bohr magnetons per cell
energy of formation from the pure elements	-0.414	eV/atom
uncorrected energy	-17.63	eV per cell